DFT (PBE-GGA) results for a relaxed InFe2Si crystal.

Output
* total DFT energy (no corrections): -24.193 eV/f.u.
* DOS(E_F): 6.2 states/eV per cell
* formation energy from raw total energies: 0.224 eV per atom

Lattice parameters (Å, degrees): 3.7313 3.7313 8.0548 90.00 90.00 90.00
Last column: nearest neighbours and their distance in Å.
Space group I-4m2 (No. 119)
Symmetry-distinct sites (fractional):
In  0.0000  0.0000  0.0000  8 Fe 2.64-2.75, 4 Si 2.75
Fe  0.0000  0.0000  0.5000  4 In 2.64, 4 Fe 2.75, 4 Si 2.75
Fe  0.0000  0.5000  0.2500  4 Si 2.64, 4 In 2.75, 4 Fe 2.75
Si  0.0000  0.5000  0.7500  8 Fe 2.64-2.75, 4 In 2.75